# PBE K3Rb5Hg12, relaxed
# - N(E_F) (states/eV/f.u.) = 11.01
# - DFT total energy (eV per atom) = -0.733
# - volume (Å³/f.u.) = 1048
# - ΔH_f (0 K) (eV/atom) = -0.146
data_K3Rb5Hg12
_chemical_formula_sum 'K24 Rb40 Hg96'
_cell_length_a 20.314
_cell_length_b 20.314
_cell_length_c 20.314
_cell_angle_alpha 90.00
_cell_angle_beta 90.00
_cell_angle_gamma 90.00
_space_group_name_H-M_alt 'I a -3 d'
_space_group_IT_number 230
_space_group_name_Hall '-I 4bd 2c 3'
loop_
_atom_site_label
_atom_site_type_symbol
_atom_site_fract_x
_atom_site_fract_y
_atom_site_fract_z
K1 K 0.000 0.250 0.125
Rb1 Rb 0.000 0.000 0.000
Rb2 Rb 0.000 0.250 0.375
Hg1 Hg 0.012 0.082 0.152